MgCdPtO4 | Alexandria | PBE-GGA | optimized geometry; formation energy from raw total energies = -1.34 eV/atom; magnetic moment = 0.00 μB per formula unit
1.0
-3.0903 3.1999 4.4875
3.0903 -3.1999 4.4875
3.0903 3.1999 -4.4875
Mg Cd Pt O
2 2 2 8
Direct
0.5000 0.0000 0.0000 Mg
0.5000 0.5000 0.5000 Mg
0.1022 0.3522 0.7500 Cd
0.8978 0.6478 0.2500 Cd
0.0000 0.0000 0.0000 Pt
0.5000 0.0000 0.5000 Pt
0.2597 0.2215 0.4618 O
0.2597 0.7979 0.0382 O
0.2640 0.2279 0.0361 O
0.3082 0.7721 0.5361 O
0.6918 0.2279 0.4639 O
0.7360 0.7721 0.9639 O
0.7403 0.2021 0.9618 O
0.7403 0.7785 0.5382 O

PuMgCdO6 | Alexandria | PBE-GGA | optimized geometry; formation energy from raw total energies = -1.90 eV/atom; magnetic moment = 0.00 μB per formula unit
1.0
5.3963 0.0000 0.0000
-2.6981 4.6733 0.0000
0.0000 0.0000 4.8087
Pu Mg Cd O
1 1 1 6
Direct
0.0000 0.0000 0.0000 Pu
0.3333 0.6667 0.0000 Mg
0.6667 0.3333 0.5000 Cd
0.0166 0.3180 0.7791 O
0.0166 0.6986 0.2209 O
0.3014 0.3180 0.2209 O
0.3014 0.9834 0.7791 O
0.6820 0.6986 0.7791 O
0.6820 0.9834 0.2209 O

PuMg2CdO6 | Alexandria | PBE-GGA | optimized geometry; formation energy from raw total energies = -2.27 eV/atom; magnetic moment = 2.00 μB per formula unit
1.0
2.7227 1.5720 4.9069
-2.7227 1.5720 4.9069
0.0000 -3.1439 4.9069
Pu Mg Cd O
1 2 1 6
Direct
0.0000 0.0000 0.0000 Pu
0.3070 0.3070 0.3070 Mg
0.7941 0.7941 0.7941 Mg
0.5147 0.5147 0.5147 Cd
0.0813 0.3990 0.7197 O
0.1812 0.9391 0.6040 O
0.3990 0.7197 0.0813 O
0.6040 0.1812 0.9391 O
0.7197 0.0813 0.3990 O
0.9391 0.6040 0.1812 O

Pu2MgCdO8 | Alexandria | PBE-GGA | optimized geometry; formation energy from raw total energies = -2.32 eV/atom; magnetic moment = 4.00 μB per formula unit
1.0
3.3709 -3.4855 0.0000
3.3709 3.4855 0.0000
0.0000 0.0000 6.9117
Pu Mg Cd O
2 1 1 8
Direct
0.0000 0.0000 0.2447 Pu
0.0000 0.0000 0.7553 Pu
0.5000 0.5000 0.0000 Mg
0.5000 0.5000 0.5000 Cd
0.1810 0.8190 0.5000 O
0.1922 0.8078 0.0000 O
0.2876 0.2876 0.2337 O
0.2876 0.2876 0.7663 O
0.7124 0.7124 0.2337 O
0.7124 0.7124 0.7663 O
0.8078 0.1922 0.0000 O
0.8190 0.1810 0.5000 O